Entry 1:
# Ti3CuH, relaxed, DFT PBE
data_Ti3CuH
_chemical_formula_sum 'Ti3 Cu1 H1'
_symmetry_space_group_name_H-M 'P m -3 m'
_symmetry_Int_Tables_number 221
_symmetry_space_group_name_Hall '-P 4 2 3'
_cell_length_a 4.012
_cell_length_b 4.012
_cell_length_c 4.012
_cell_angle_alpha 90.00
_cell_angle_beta 90.00
_cell_angle_gamma 90.00
loop_
_atom_site_label
_atom_site_type_symbol
_atom_site_fract_x
_atom_site_fract_y
_atom_site_fract_z
_atom_site_occupancy
Ti1 Ti 0.000 0.000 0.500 1
Cu1 Cu 0.500 0.500 0.500 1
H1 H 0.000 0.000 0.000 1
# E above lowest polymorph in meV per atom: 0
# DOS(E_F) in states/eV/cell: 7.74
# E_tot in eV/cell: -31.87
# Volume in Å³/f.u.: 65

---

Entry 2:
# Ti3CuH, relaxed, DFT PBE
data_Ti3CuH
_chemical_formula_sum 'Ti3 Cu1 H1'
_symmetry_space_group_name_H-M 'P m -3 m'
_symmetry_Int_Tables_number 221
_symmetry_space_group_name_Hall '-P 4 2 3'
_cell_length_a 4.659
_cell_length_b 4.659
_cell_length_c 4.659
_cell_angle_alpha 90.00
_cell_angle_beta 90.00
_cell_angle_gamma 90.00
loop_
_atom_site_label
_atom_site_type_symbol
_atom_site_fract_x
_atom_site_fract_y
_atom_site_fract_z
_atom_site_occupancy
Ti1 Ti 0.000 0.000 0.500 1
Cu1 Cu 0.000 0.000 0.000 1
H1 H 0.500 0.500 0.500 1
# E above lowest polymorph in meV per atom: 1423
# DOS(E_F) in states/eV/cell: 8.22
# E_tot in eV/cell: -24.76
# Volume in Å³/f.u.: 101

---

Entry 3:
# Ti5Cu2H4, relaxed, DFT PBE
data_Ti5Cu2H4
_chemical_formula_sum 'Ti10 Cu4 H8'
_symmetry_space_group_name_H-M 'C 1 2/m 1'
_symmetry_Int_Tables_number 12
_cell_length_a 16.359
_cell_length_b 2.723
_cell_length_c 5.782
_cell_angle_alpha 90.00
_cell_angle_beta 105.49
_cell_angle_gamma 90.00
loop_
_symmetry_equiv_pos_as_xyz
'x,y,z'
'-x,-y,-z'
'-x,y,-z'
'x,-y,z'
'x+1/2,y+1/2,z'
'-x+1/2,-y+1/2,-z'
'-x+1/2,y+1/2,-z'
'x+1/2,-y+1/2,z'
loop_
_atom_site_label
_atom_site_type_symbol
_atom_site_fract_x
_atom_site_fract_y
_atom_site_fract_z
_atom_site_occupancy
Ti1 Ti 0.000 0.000 0.000 1
Ti2 Ti 0.169 0.500 0.825 1
Ti3 Ti 0.193 0.500 0.321 1
Cu1 Cu 0.054 0.500 0.405 1
H1 H 0.042 0.500 0.821 1
H2 H 0.137 0.000 0.048 1
# DOS(E_F) in states/eV/cell: 17.29
# E_tot in eV/cell: -122.76
# Volume in Å³/f.u.: 124

---

Entry 4:
# TiCuH3, relaxed, DFT PBE
data_TiCuH3
_chemical_formula_sum 'Ti1 Cu1 H3'
_symmetry_space_group_name_H-M 'P m -3 m'
_symmetry_Int_Tables_number 221
_symmetry_space_group_name_Hall '-P 4 2 3'
_cell_length_a 3.339
_cell_length_b 3.339
_cell_length_c 3.339
_cell_angle_alpha 90.00
_cell_angle_beta 90.00
_cell_angle_gamma 90.00
loop_
_atom_site_label
_atom_site_type_symbol
_atom_site_fract_x
_atom_site_fract_y
_atom_site_fract_z
_atom_site_occupancy
Ti1 Ti 0.000 0.000 0.000 1
Cu1 Cu 0.500 0.500 0.500 1
H1 H 0.000 0.500 0.500 1
# DOS(E_F) in states/eV/cell: 2.59
# E_tot in eV/cell: -21.55
# Volume in Å³/f.u.: 37